1.
# CeCdO3

CeCdO3 after structural relaxation (PBE, Alexandria).

Values from the calculation:
Its crystal system is orthorhombic. Its total energy is -6.65 eV per atom. The symmetry is Cmcm, No. 63. For the total magnetization, the calculation gives 0.00 μB per formula unit. The value obtained for the density of states at the Fermi level is 0.000 states/eV per cell. The calculation puts the formation energy without anion corrections at -223 kJ/mol of atoms.

Cell: 6.0057 6.0057 8.4642 Å, 90.00 90.00 90.26°
With the nearest neighbours (Å) after each atom.
Atoms (fractional coordinates):
O1 0.6028 0.9382 0.7500  2 Ce 2.24, 2 Cd 2.30-2.44
O2 0.1733 0.1733 0.9321  1 Cd 2.23, 2 Ce 2.30
O3 0.3378 0.6622 0.5000  2 Ce 2.25
O4 0.9382 0.6028 0.7500  2 Ce 2.24, 2 Cd 2.30-2.44
O5 0.3378 0.6622 0.0000  2 Ce 2.25
O6 0.6622 0.3378 0.5000  2 Ce 2.25
O7 0.0618 0.3972 0.2500  2 Ce 2.24, 2 Cd 2.30-2.44
O8 0.1733 0.1733 0.5679  1 Cd 2.23, 2 Ce 2.30
O9 0.8267 0.8267 0.4321  1 Cd 2.23, 2 Ce 2.30
O10 0.6622 0.3378 0.0000  2 Ce 2.25
O11 0.3972 0.0618 0.2500  2 Ce 2.24, 2 Cd 2.30-2.44
O12 0.8267 0.8267 0.0679  1 Cd 2.23, 2 Ce 2.30
Cd1 0.5375 0.5375 0.7500  6 O 2.44-2.55
Cd2 0.4625 0.4625 0.2500  6 O 2.44-2.55
Cd3 0.0164 0.0164 0.2500  4 O 2.23-2.30
Cd4 0.9836 0.9836 0.7500  4 O 2.23-2.30
Ce1 0.5000 0.0000 0.5000  6 O 2.24-2.30
Ce2 0.5000 0.0000 0.0000  6 O 2.24-2.30
Ce3 0.0000 0.5000 0.0000  6 O 2.24-2.30
Ce4 0.0000 0.5000 0.5000  6 O 2.24-2.30

---

2.
# Hf3Ti2Bi2

Hf3Ti2Bi2 after structural relaxation (PBE, Alexandria).

Values from the calculation:
Its crystal system is monoclinic. Its total energy is -7.53 eV per atom. The symmetry is C2/m, No. 12. For the total magnetization, the calculation gives 0.00 μB per formula unit. The value obtained for the density of states at the Fermi level is 6.908 states/eV per cell.

Cell: 3.2640 7.3336 7.3360 Å, 112.53 102.85 90.00°
With the nearest neighbours (Å) after each atom.
Atoms (fractional coordinates):
Bi1 0.3992 0.2372 0.7984  4 Ti 3.04-3.15, 5 Hf 3.10-3.13, 2 Bi 3.26
Bi2 0.6008 0.7628 0.2016  4 Ti 3.04-3.15, 5 Hf 3.10-3.13, 2 Bi 3.26
Hf1 0.2904 0.7788 0.5807  3 Ti 2.94-2.95, 3 Bi 3.10-3.13, 4 Hf 3.23-3.26
Hf2 0.7096 0.2212 0.4193  3 Ti 2.94-2.95, 3 Bi 3.10-3.13, 4 Hf 3.23-3.26
Hf3 0.0000 0.0000 0.0000  2 Ti 2.81, 4 Bi 3.12
Ti1 0.8965 0.5850 0.7931  4 Hf 2.81-2.95, 4 Bi 3.04-3.15
Ti2 0.1035 0.4150 0.2069  4 Hf 2.81-2.95, 4 Bi 3.04-3.15

---

3.
# Ac2DyCd4In3

Ac2DyCd4In3 after structural relaxation (PBE, Alexandria).

Values from the calculation:
Its crystal system is tetragonal. Its total energy is -2.78 eV per atom. The symmetry is P-4m2, No. 115. For the total magnetization, the calculation gives 0.00 μB per formula unit. The value obtained for the density of states at the Fermi level is 5.566 states/eV per cell.

Cell: 4.7287 4.7287 12.9195 Å, 90.00 90.00 90.00°
With the nearest neighbours (Å) after each atom.
Atoms (fractional coordinates):
Cd1 0.0000 0.5000 0.3495  3 In 2.80-3.06, 2 Dy 3.06
Cd2 0.0000 0.0000 0.0000  4 In 2.92
Cd3 0.5000 0.5000 0.0000  4 In 2.92
Cd4 0.5000 0.0000 0.6505  3 In 2.80-3.06, 2 Dy 3.06
Ac1 0.5000 0.0000 0.2343  4 In 3.59, 8 Cd 3.66-3.84
Ac2 0.0000 0.5000 0.7657  4 In 3.59, 8 Cd 3.66-3.84
In1 0.5000 0.0000 0.8669  5 Cd 2.80-2.92
In2 0.0000 0.0000 0.5000  4 Cd 3.06, 4 Dy 3.34
In3 0.0000 0.5000 0.1331  5 Cd 2.80-2.92
Dy1 0.5000 0.5000 0.5000  4 Cd 3.06, 4 In 3.34

---

4.
# KCaErF6

KCaErF6 after structural relaxation (PBE, Alexandria).

Values from the calculation:
Its crystal system is trigonal. Its total energy is -5.86 eV per atom. The symmetry is P-31c, No. 163. For the total magnetization, the calculation gives 0.15 μB per formula unit. The value obtained for the density of states at the Fermi level is 0.000 states/eV per cell. The calculation puts the formation energy without anion corrections at -363 kJ/mol of atoms.

Cell: 6.0957 6.0957 10.5439 Å, 90.00 90.00 120.00°
With the nearest neighbours (Å) after each atom.
Atoms (fractional coordinates):
F1 0.6347 0.0136 0.3568  1 Er 2.17, 1 Ca 2.29
F2 0.3653 0.9864 0.6432  1 Er 2.17, 1 Ca 2.29
F3 0.9864 0.6211 0.3568  1 Er 2.17, 1 Ca 2.29
F4 0.6211 0.9864 0.8568  1 Er 2.17, 1 Ca 2.29
F5 0.6347 0.6211 0.1432  1 Er 2.17, 1 Ca 2.29
F6 0.6211 0.6347 0.6432  1 Er 2.17, 1 Ca 2.29
F7 0.3789 0.3653 0.3568  1 Er 2.17, 1 Ca 2.29
F8 0.3653 0.3789 0.8568  1 Er 2.17, 1 Ca 2.29
F9 0.3789 0.0136 0.1432  1 Er 2.17, 1 Ca 2.29
F10 0.0136 0.6347 0.8568  1 Er 2.17, 1 Ca 2.29
F11 0.0136 0.3789 0.6432  1 Er 2.17, 1 Ca 2.29
F12 0.9864 0.3653 0.1432  1 Er 2.17, 1 Ca 2.29
Ca1 0.3333 0.6667 0.2500  6 F 2.29
Ca2 0.6667 0.3333 0.7500  6 F 2.29
Er1 0.3333 0.6667 0.7500  6 F 2.17
Er2 0.6667 0.3333 0.2500  6 F 2.17
K1 0.0000 0.0000 0.0000  6 F 2.73
K2 0.0000 0.0000 0.5000  6 F 2.73

---

5.
# Ni8H4Pt

Ni8H4Pt after structural relaxation (PBE, Alexandria).

Values from the calculation:
Its crystal system is monoclinic. Its total energy is -5.08 eV per atom. The symmetry is C2/m, No. 12. For the total magnetization, the calculation gives 2.20 μB per formula unit. The value obtained for the density of states at the Fermi level is 20.354 states/eV per cell.

Cell: 2.6267 6.5232 6.8089 Å, 81.60 78.88 78.38°
With the nearest neighbours (Å) after each atom.
Atoms (fractional coordinates):
Ni1 0.5524 0.6643 0.2310  3 H 1.81-1.83
Ni2 0.2202 0.6683 0.8913  3 H 1.84-1.86
Ni3 0.4790 0.3393 0.7026  3 H 1.81-1.83
Ni4 0.8862 0.6680 0.5595  3 H 1.80-1.81
Ni5 0.1451 0.3355 0.3743  3 H 1.80-1.81
Ni6 0.8113 0.3350 0.0424  3 H 1.84-1.86
Ni7 0.8487 0.0008 0.3018  3 H 1.81-1.87
Ni8 0.1826 0.0029 0.6319  3 H 1.81-1.87
Pt1 0.5157 0.0017 0.9668  10 Ni 2.59-2.63, 2 Pt 2.63
H1 0.6636 0.1747 0.4982  6 Ni 1.81-1.87
H2 0.1807 0.5004 0.1381  6 Ni 1.80-1.86
H3 0.8507 0.5025 0.7960  6 Ni 1.80-1.86
H4 0.3679 0.8287 0.4356  6 Ni 1.81-1.87

---

6.
# CeNbNi

CeNbNi after structural relaxation (PBE, Alexandria).

Values from the calculation:
Its crystal system is orthorhombic. Its total energy is -7.25 eV per atom. The symmetry is Amm2, No. 38. For the total magnetization, the calculation gives 0.00 μB per formula unit. The value obtained for the density of states at the Fermi level is 7.631 states/eV per cell.

Cell: 4.1922 2.9645 12.5249 Å, 90.00 90.00 135.00°
With the nearest neighbours (Å) after each atom.
Atoms (fractional coordinates):
Nb1 0.1941 0.3881 0.8653  4 Ni 2.69, 4 Nb 2.96
Nb2 0.1941 0.3881 0.1347  4 Ni 2.69, 4 Nb 2.96
Ni1 0.6937 0.3874 0.0000  8 Nb 2.69, 4 Ni 2.96
Ni2 0.1952 0.3905 0.5000  8 Ce 2.93, 4 Ni 2.96
Ce1 0.6948 0.3895 0.6631  4 Ni 2.93, 4 Ce 2.96
Ce2 0.6948 0.3895 0.3369  4 Ni 2.93, 4 Ce 2.96

---

7.
# TaCo2Br

TaCo2Br after structural relaxation (PBE, Alexandria).

Values from the calculation:
Its crystal system is monoclinic. Its total energy is -6.51 eV per atom. The symmetry is C2/m, No. 12. For the total magnetization, the calculation gives 0.00 μB per formula unit. The value obtained for the density of states at the Fermi level is 3.680 states/eV per cell. The calculation puts the formation energy without anion corrections at 41 kJ/mol of atoms.

Cell: 4.0736 4.0736 7.1525 Å, 110.47 110.47 46.53°
With the nearest neighbours (Å) after each atom.
Atoms (fractional coordinates):
Br1 0.2500 0.2500 0.2500  2 Co 2.30
Co1 0.3953 0.3953 0.5967  1 Br 2.30, 3 Ta 2.43-2.46
Co2 0.1047 0.1047 0.9033  1 Br 2.30, 3 Ta 2.43-2.46
Ta1 0.7500 0.7500 0.7500  6 Co 2.43-2.46

---

8.
# Na2Cd2F7

Na2Cd2F7 after structural relaxation (PBE, Alexandria).

Values from the calculation:
Its crystal system is orthorhombic. Its total energy is -3.75 eV per atom. The symmetry is Cmmm, No. 65. For the total magnetization, the calculation gives 1.11 μB per formula unit. The value obtained for the density of states at the Fermi level is 8.962 states/eV per cell. The calculation puts the formation energy without anion corrections at -207 kJ/mol of atoms.

Cell: 5.4615 5.6056 5.4615 Å, 90.02 95.02 89.98°
With the nearest neighbours (Å) after each atom.
Atoms (fractional coordinates):
F1 0.4999 0.2503 0.0001  2 Cd 2.32, 2 Na 2.45-2.46
F2 0.5001 0.7497 0.9999  2 Cd 2.32, 2 Na 2.45-2.46
F3 0.0001 0.7497 0.4999  2 Cd 2.32, 2 Na 2.45-2.46
F4 0.5001 0.7602 0.4999  2 Na 2.25, 2 Cd 2.27
F5 0.9999 0.2503 0.5001  2 Cd 2.32, 2 Na 2.45-2.46
F6 0.4999 0.2398 0.5001  2 Na 2.25, 2 Cd 2.27
F7 0.0000 0.0000 0.0000  2 Cd 2.19
Cd1 0.7276 0.0000 0.2724  7 F 2.19-2.32
Cd2 0.2724 0.0000 0.7276  7 F 2.19-2.32
Na1 0.2673 0.5000 0.2673  6 F 2.25-2.46
Na2 0.7327 0.5000 0.7327  6 F 2.25-2.46

---

9.
# NbReSiTc

NbReSiTc after structural relaxation (PBE, Alexandria).

Values from the calculation:
Its crystal system is cubic. Its total energy is -9.86 eV per atom. The symmetry is F-43m, No. 216. For the total magnetization, the calculation gives 0.00 μB per formula unit. The value obtained for the density of states at the Fermi level is 2.186 states/eV per cell. The calculation puts the formation energy without anion corrections at -27 kJ/mol of atoms.

Cell: 4.3836 4.3836 4.3836 Å, 60.00 60.00 60.00°
With the nearest neighbours (Å) after each atom.
Atoms (fractional coordinates):
Nb1 0.2500 0.2500 0.2500  4 Tc 2.68, 4 Re 2.68
Si1 0.7500 0.7500 0.7500  4 Re 2.68, 4 Tc 2.68
Tc1 0.0000 0.0000 0.0000  4 Si 2.68, 4 Nb 2.68
Re1 0.5000 0.5000 0.5000  4 Nb 2.68, 4 Si 2.68

---

10.
# TbPuCl2

TbPuCl2 after structural relaxation (PBE, Alexandria).

Values from the calculation:
Its crystal system is trigonal. Its total energy is -6.81 eV per atom. The symmetry is R-3m, No. 166. For the total magnetization, the calculation gives 6.45 μB per formula unit. The value obtained for the density of states at the Fermi level is 7.234 states/eV per cell. The calculation puts the formation energy without anion corrections at -110 kJ/mol of atoms.

Cell: 3.6572 3.6572 9.7309 Å, 79.17 79.17 60.00°
With the nearest neighbours (Å) after each atom.
Atoms (fractional coordinates):
Cl1 0.9042 0.9042 0.2874  1 Tb 2.73, 3 Pu 2.92
Cl2 0.0958 0.0958 0.7126  1 Tb 2.73, 3 Pu 2.92
Tb1 0.0000 0.0000 0.0000  2 Cl 2.73
Pu1 0.5000 0.5000 0.5000  6 Cl 2.92

---

11.
# PmPr2ZnS5

PmPr2ZnS5 after structural relaxation (PBE, Alexandria).

Values from the calculation:
Its crystal system is orthorhombic. Its total energy is -5.76 eV per atom. The symmetry is Cmc2_1, No. 36. For the total magnetization, the calculation gives 0.00 μB per formula unit. The value obtained for the density of states at the Fermi level is 2.103 states/eV per cell. The calculation puts the formation energy without anion corrections at -168 kJ/mol of atoms.

Cell: 3.9263 8.7258 12.1988 Å, 90.00 90.00 103.00°
With the nearest neighbours (Å) after each atom.
Atoms (fractional coordinates):
S1 0.5088 0.0176 0.2555  1 Zn 2.28
S2 0.6508 0.3017 0.5151  1 Pm 2.77, 4 Pr 2.93-2.94
S3 0.6810 0.3620 0.8581  1 Zn 2.46
S4 0.9800 0.9600 0.5227  2 Zn 2.32
S5 0.0200 0.0400 0.0227  2 Zn 2.32
S6 0.2979 0.5959 0.6902  2 Pm 2.81, 3 Pr 2.97-3.07
S7 0.3492 0.6983 0.0151  1 Pm 2.77, 4 Pr 2.93-2.94
S8 0.3190 0.6380 0.3581  1 Zn 2.46
S9 0.4912 0.9824 0.7555  1 Zn 2.28
S10 0.7021 0.4041 0.1902  2 Pm 2.81, 3 Pr 2.97-3.07
Pr1 0.1174 0.2348 0.6885  8 S 2.94-3.09
Pr2 0.8738 0.7476 0.8398  6 S 2.93-2.98
Pr3 0.8826 0.7652 0.1885  8 S 2.94-3.09
Pr4 0.1262 0.2524 0.3398  6 S 2.93-2.98
Pm1 0.1868 0.3735 0.0271  6 S 2.77-2.85
Pm2 0.8132 0.6265 0.5271  6 S 2.77-2.85
Zn1 0.4551 0.9103 0.4270  4 S 2.28-2.46
Zn2 0.5449 0.0897 0.9270  4 S 2.28-2.46

---

12.
# KCd2Ir

KCd2Ir after structural relaxation (PBE, Alexandria).

Values from the calculation:
Its crystal system is cubic. Its total energy is -2.56 eV per atom. The symmetry is Fm-3m, No. 225. For the total magnetization, the calculation gives 0.00 μB per formula unit. The value obtained for the density of states at the Fermi level is 1.615 states/eV per cell.

Cell: 4.9832 4.9832 4.9832 Å, 60.00 60.00 60.00°
With the nearest neighbours (Å) after each atom.
Atoms (fractional coordinates):
Cd1 0.2500 0.2500 0.2500  4 Ir 3.05, 4 K 3.05
Cd2 0.7500 0.7500 0.7500  4 K 3.05, 4 Ir 3.05
Ir1 0.5000 0.5000 0.5000  8 Cd 3.05
K1 0.0000 0.0000 0.0000  8 Cd 3.05

---

no.,calculated volume (Å³ per atom)
1,15.3
2,22.5
3,28.9
4,18.8
5,8.6
6,18.3
7,19.9
8,15.1
9,14.9
10,27.5
11,22.6
12,21.9